Record 1
Here is a relaxed Cd2In15Sn2 crystal from Alexandria. Energies are from PBE-GGA.

Cell: 8.934 8.934 8.934 Å, 62.74 62.74 62.74°
Element x y z (fractional)
1 In 0.000 0.500 0.000
2 In 0.432 0.432 0.799
3 In 0.000 0.683 0.317
4 In 0.568 0.568 0.201
5 In 0.000 0.317 0.683
6 In 0.317 0.683 0.000
7 In 0.432 0.799 0.432
8 In 0.000 0.000 0.500
9 In 0.201 0.568 0.568
10 In 0.568 0.201 0.568
11 In 0.683 0.317 0.000
12 In 0.317 0.000 0.683
13 In 0.799 0.432 0.432
14 In 0.500 0.000 0.000
15 In 0.683 0.000 0.317
16 Sn 0.250 0.250 0.250
17 Sn 0.750 0.750 0.750
18 Cd 0.087 0.087 0.087
19 Cd 0.913 0.913 0.913

## Properties
energy of formation: 1.70 eV/f.u.
energy: -49.215 eV for the cell shown

---

Record 2
Here is a relaxed TlAs2Ir crystal from Alexandria. Energies are from PBE-GGA.

Cell: 3.011 3.011 9.191 Å, 90.00 90.00 89.99°
Element x y z (fractional)
1 As 0.500 0.500 0.303
2 As 0.000 0.000 0.022
3 Ir 0.000 0.000 0.452
4 Tl 0.500 0.500 0.723

## Properties
energy of formation: 1.03 eV/f.u.
energy: -19.499 eV for the cell shown

---

Q: Among the records above, which one has the highest energy?
A: TlAs2Ir

---

Q: energy of formation of number 1 (Cd2In15Sn2)?
A: 1.70 eV/f.u.